Compound: Ho4TlCdIn2
Source: Alexandria
Functional: PBE-GGA
Structure: optimized geometry

Geometry as CIF:
```
data_Ho4TlCdIn2
_cell_length_a 5.3026
_cell_length_b 5.3026
_cell_length_c 25.9535
_cell_angle_alpha 90.00
_cell_angle_beta 90.00
_cell_angle_gamma 120.00
_symmetry_space_group_name_H-M 'R -3 m'
_symmetry_Int_Tables_number 166
_symmetry_space_group_name_Hall '-R 3 2"'
loop_
_atom_site_label
_atom_site_type_symbol
_atom_site_fract_x
_atom_site_fract_y
_atom_site_fract_z
Ho1 Ho 0.0000 0.0000 0.1251
Ho2 Ho 0.0000 0.0000 0.3752
Tl1 Tl 0.0000 0.0000 0.0000
Cd1 Cd 0.0000 0.0000 0.5000
In1 In 0.0000 0.0000 0.2476
```

Computed properties:
- ΔH_f (0 K): -0.3944 eV/atom
- Total moment: 0.00 μB/f.u.
- Fermi-level density of states: 0.8339 states/eV per atom

Compound: MgZrNb3
Source: Alexandria
Functional: PBE-GGA
Structure: optimized geometry

Geometry as CIF:
```
data_MgZrNb3
_cell_length_a 4.951
_cell_length_b 4.951
_cell_length_c 4.951
_cell_angle_alpha 90.00
_cell_angle_beta 90.00
_cell_angle_gamma 90.00
_symmetry_space_group_name_H-M 'P m -3 m'
_symmetry_Int_Tables_number 221
_symmetry_space_group_name_Hall '-P 4 2 3'
loop_
_atom_site_label
_atom_site_type_symbol
_atom_site_fract_x
_atom_site_fract_y
_atom_site_fract_z
Mg1 Mg 0.000 0.000 0.000
Zr1 Zr 0.500 0.500 0.500
Nb1 Nb 0.000 0.500 0.500
```

Computed properties:
- Offset from the most stable computed form: 0 kJ/mol of formula units
- ΔH_f (0 K): 1.4592 eV/atom
- Total moment: 0.00 μB/f.u.
- Fermi-level density of states: 1.3109 states/eV per atom

Compound: ScRhSN2
Source: Alexandria
Functional: PBE-GGA
Structure: optimized geometry

Geometry as CIF:
```
data_ScRhSN2
_cell_length_a 4.010
_cell_length_b 4.010
_cell_length_c 5.043
_cell_angle_alpha 90.00
_cell_angle_beta 90.00
_cell_angle_gamma 90.00
_symmetry_space_group_name_H-M 'P 4/m m m'
_symmetry_Int_Tables_number 123
_symmetry_space_group_name_Hall '-P 4 2'
loop_
_atom_site_label
_atom_site_type_symbol
_atom_site_fract_x
_atom_site_fract_y
_atom_site_fract_z
Sc1 Sc 0.000 0.000 0.000
Rh1 Rh 0.500 0.500 0.500
S1 S 0.000 0.000 0.500
N1 N 0.000 0.500 0.000
```

Computed properties:
- Offset from the most stable computed form: 333 kJ/mol of formula units
- Total moment: 1.75 μB/f.u.
- Fermi-level density of states: 1.1862 states/eV per atom
- Formation energy from raw total energies: 0.993 eV per atom

Compound: DyBeGa4Cu2
Source: Alexandria
Functional: PBE-GGA
Structure: optimized geometry

Geometry as CIF:
```
data_DyBeGa4Cu2
_cell_length_a 4.2013
_cell_length_b 4.2013
_cell_length_c 25.3012
_cell_angle_alpha 90.00
_cell_angle_beta 90.00
_cell_angle_gamma 120.00
_symmetry_space_group_name_H-M 'R -3 m'
_symmetry_Int_Tables_number 166
_symmetry_space_group_name_Hall '-R 3 2"'
loop_
_atom_site_label
_atom_site_type_symbol
_atom_site_fract_x
_atom_site_fract_y
_atom_site_fract_z
Dy1 Dy 0.0000 0.0000 0.0000
Be1 Be 0.0000 0.0000 0.5000
Ga1 Ga 0.0000 0.0000 0.1297
Ga2 Ga 0.0000 0.0000 0.4008
Cu1 Cu 0.0000 0.0000 0.2371
```

Computed properties:
- ΔH_f (0 K): -0.1538 eV/atom
- Total moment: 0.00 μB/f.u.
- Fermi-level density of states: 0.3235 states/eV per atom

Compound: Nd12Ru3N5
Source: Alexandria
Functional: PBE-GGA
Structure: optimized geometry

Geometry as CIF:
```
data_Nd12Ru3N5
_cell_length_a 15.716
_cell_length_b 15.716
_cell_length_c 15.716
_cell_angle_alpha 90.00
_cell_angle_beta 90.00
_cell_angle_gamma 90.00
_symmetry_space_group_name_H-M 'I a -3 d'
_symmetry_Int_Tables_number 230
_symmetry_space_group_name_Hall '-I 4bd 2c 3'
loop_
_atom_site_label
_atom_site_type_symbol
_atom_site_fract_x
_atom_site_fract_y
_atom_site_fract_z
Nd1 Nd 0.029 0.055 0.651
Ru1 Ru 0.000 0.250 0.125
N1 N 0.000 0.000 0.000
N2 N 0.000 0.250 0.375
```

Computed properties:
- Total moment: 0.00 μB/f.u.
- Fermi-level density of states: 0.6545 states/eV per atom
- Formation energy from raw total energies: -0.639 eV per atom

Compound: Cu12Pt3Rh
Source: Alexandria
Functional: PBE-GGA
Structure: optimized geometry

Geometry as CIF:
```
data_Cu12Pt3Rh
_cell_length_a 3.717
_cell_length_b 3.717
_cell_length_c 14.886
_cell_angle_alpha 90.00
_cell_angle_beta 90.00
_cell_angle_gamma 90.00
_symmetry_space_group_name_H-M 'P 4/m m m'
_symmetry_Int_Tables_number 123
_symmetry_space_group_name_Hall '-P 4 2'
loop_
_atom_site_label
_atom_site_type_symbol
_atom_site_fract_x
_atom_site_fract_y
_atom_site_fract_z
Cu1 Cu 0.000 0.000 0.000
Cu2 Cu 0.000 0.000 0.249
Cu3 Cu 0.000 0.000 0.500
Cu4 Cu 0.000 0.500 0.123
Cu5 Cu 0.000 0.500 0.374
Pt1 Pt 0.500 0.500 0.249
Pt2 Pt 0.500 0.500 0.500
Rh1 Rh 0.500 0.500 0.000
```

Computed properties:
- ΔH_f (0 K): -0.0991 eV/atom
- Total moment: 0.00 μB/f.u.
- Fermi-level density of states: 0.6759 states/eV per atom